No. 1
Ag4SbAu2 PBE-GGA relaxed; formation energy without anion corrections = 0.552 eV/f.u.; calculated total energy = -21.53 eV for the cell shown
1.0
-5.395 -0.040 -1.955
1.536 -2.709 4.819
0.938 5.529 1.219
Au Ag Sb
2 4 1
Direct
0.250 0.750 0.500
0.750 0.250 0.500
0.702 0.298 0.000
0.298 0.702 0.000
0.702 0.702 0.403
0.298 0.298 0.597
0.000 0.000 0.000

No. 2
Tb8Nd2Tm PBE-GGA relaxed; calculated formation energy = 158 meV/atom; calculated total energy = -49.31 eV for the cell shown
1.0
6.319 1.771 1.344
2.193 9.499 3.008
2.193 5.455 8.338
Tb Nd Tm
8 2 1
Direct
0.819 0.244 0.244
0.269 0.411 0.411
0.228 0.350 0.825
0.772 0.175 0.650
0.181 0.756 0.756
0.772 0.650 0.175
0.228 0.825 0.350
0.731 0.589 0.589
0.597 0.803 0.803
0.403 0.197 0.197
0.000 0.000 0.000

No. 3
Li2PaGa PBE-GGA relaxed; calculated formation energy = 126 meV/atom; calculated total energy = -15.85 eV for the cell shown
1.0
2.976 0.000 0.000
1.488 2.578 0.000
1.488 0.859 10.723
Li Ga Pa
2 1 1
Direct
0.096 0.096 0.712
0.904 0.904 0.288
0.500 0.500 0.500
0.000 0.000 0.000

No. 4
CaURu2 PBE-GGA relaxed; calculated formation energy = -206 meV/atom; calculated total energy = -32.66 eV for the cell shown
1.0
3.368 0.000 0.000
0.000 3.368 0.000
0.000 0.000 7.091
Ru Ca U
2 1 1
Direct
0.000 0.000 0.199
0.000 0.000 0.801
0.500 0.500 0.500
0.500 0.500 0.000

No. 5
UVSn PBE-GGA relaxed; calculated formation energy = 508 meV/atom; calculated total energy = -45.77 eV for the cell shown
1.0
-3.266 0.086 2.544
-2.924 -2.918 -0.285
2.359 -5.946 6.602
Sn V U
2 2 2
Direct
0.627 0.627 0.118
0.373 0.373 0.882
0.102 0.102 0.695
0.898 0.898 0.305
0.211 0.211 0.366
0.789 0.789 0.634

No. 6
Sc3AuO PBE-GGA relaxed; formation energy without anion corrections = -6.686 eV/f.u.; calculated total energy = -67.83 eV for the cell shown
1.0
0.705 0.267 -3.507
-1.913 -2.770 1.239
-14.682 9.133 -2.257
Sc O Au
6 2 2
Direct
0.000 0.000 0.750
0.667 0.333 0.109
0.667 0.333 0.391
0.333 0.667 0.891
0.333 0.667 0.609
0.000 0.000 0.250
0.333 0.667 0.750
0.667 0.333 0.250
0.000 0.000 0.000
0.000 0.000 0.500

Question: What is the calculated total energy in the third record?
Answer: -15.85 eV for the cell shown